# 1
Material: Sr2GaHgPd
Method: DFT, PBE-GGA
State: optimized geometry

Cell lengths 5.892, 5.892, 4.790 Å; angles 90.00, 90.00, 90.00 degrees
Positions (direct):
1 Sr 0.000 0.500 0.000
2 Sr 0.500 0.000 0.000
3 Ga 0.000 0.000 0.500
4 Hg 0.500 0.500 0.500
5 Pd 0.000 0.000 0.000

Summary:
ΔE_f: -453 meV/atom
Calculated volume: 33.3 Å³ per atom
Theoretical density: 5.51 g/cm3
Density of states at the Fermi level: 2.86 states/eV/cell
Total magnetic moment: 0.00 μB/atom



# 2
Material: SrGa2HgPd
Method: DFT, PBE-GGA
State: optimized geometry

Cell lengths 4.872, 4.872, 5.870 Å; angles 90.00, 90.00, 90.00 degrees
Positions (direct):
1 Sr 0.000 0.000 0.500
2 Ga 0.000 0.500 0.000
3 Ga 0.500 0.000 0.000
4 Hg 0.500 0.500 0.500
5 Pd 0.000 0.000 0.000

Summary:
ΔE_f: -345 meV/atom
Calculated volume: 27.9 Å³ per atom
Theoretical density: 6.37 g/cm3
E above lowest polymorph: 0.0 meV/atom
Density of states at the Fermi level: 2.39 states/eV/cell
Total magnetic moment: 0.00 μB/atom



# 3
Material: SrGaHg2Pd
Method: DFT, PBE-GGA
State: optimized geometry

Cell lengths 5.311, 5.311, 4.828 Å; angles 90.00, 90.00, 90.00 degrees
Positions (direct):
1 Sr 0.500 0.500 0.500
2 Ga 0.000 0.000 0.500
3 Hg 0.000 0.500 0.000
4 Hg 0.500 0.000 0.000
5 Pd 0.000 0.000 0.000

Summary:
ΔE_f: -305 meV/atom
Calculated volume: 27.2 Å³ per atom
Theoretical density: 8.11 g/cm3
Density of states at the Fermi level: 2.90 states/eV/cell
Total magnetic moment: 0.00 μB/atom



# 4
Material: Ta2GaHgPd
Method: DFT, PBE-GGA
State: optimized geometry

Cell lengths 4.790, 4.543, 4.790 Å; angles 90.00, 90.00, 90.00 degrees
Positions (direct):
1 Ga 0.000 0.000 0.000
2 Hg 0.500 0.500 0.500
3 Pd 0.000 0.500 0.000
4 Ta 0.000 0.000 0.500
5 Ta 0.500 0.000 0.000

Summary:
ΔE_f: 954 meV/atom
Calculated volume: 20.8 Å³ per atom
Theoretical density: 11.77 g/cm3
Density of states at the Fermi level: 4.32 states/eV/cell
Total magnetic moment: 0.00 μB/atom



# 5
Material: TbGaHgPd
Method: DFT, PBE-GGA
State: optimized geometry

Cell lengths 4.861, 4.861, 4.861 Å; angles 60.00, 60.00, 60.00 degrees
Positions (direct):
1 Ga 0.250 0.250 0.250
2 Tb 0.750 0.750 0.750
3 Hg 0.000 0.000 0.000
4 Pd 0.500 0.500 0.500

Summary:
ΔE_f: -523 meV/atom
Calculated volume: 20.3 Å³ per atom
Theoretical density: 10.95 g/cm3
Density of states at the Fermi level: 1.83 states/eV/cell
Total magnetic moment: 0.00 μB/atom



# 6
Material: Tb2Ga2HgPd5
Method: DFT, PBE-GGA
State: optimized geometry

Cell lengths 3.811, 9.880, 9.880 Å; angles 90.00, 90.00, 90.00 degrees
Positions (direct):
1 Tb 0.000 0.678 0.178
2 Tb 0.000 0.322 0.822
3 Tb 0.000 0.178 0.322
4 Tb 0.000 0.822 0.678
5 Ga 0.000 0.120 0.620
6 Ga 0.000 0.880 0.380
7 Ga 0.000 0.620 0.880
8 Ga 0.000 0.380 0.120
9 Hg 0.000 0.000 0.000
10 Hg 0.000 0.500 0.500
11 Pd 0.500 0.212 0.066
12 Pd 0.500 0.788 0.934
13 Pd 0.500 0.066 0.788
14 Pd 0.500 0.712 0.434
15 Pd 0.500 0.934 0.212
16 Pd 0.500 0.288 0.566
17 Pd 0.500 0.566 0.712
18 Pd 0.500 0.434 0.288
19 Pd 0.500 0.500 0.000
20 Pd 0.500 0.000 0.500

Summary:
ΔE_f: -675 meV/atom
Calculated volume: 18.6 Å³ per atom
Theoretical density: 10.62 g/cm3
Density of states at the Fermi level: 13.19 states/eV/cell
Total magnetic moment: 0.00 μB/atom



# 7
Material: Tb2Ga4HgPd3
Method: DFT, PBE-GGA
State: optimized geometry

Cell lengths 4.246, 4.246, 10.830 Å; angles 90.00, 90.00, 90.00 degrees
Positions (direct):
1 Tb 0.500 0.000 0.234
2 Tb 0.000 0.500 0.766
3 Ga 0.500 0.500 0.000
4 Ga 0.000 0.000 0.000
5 Ga 0.500 0.000 0.646
6 Ga 0.000 0.500 0.354
7 Hg 0.500 0.500 0.500
8 Pd 0.000 0.000 0.500
9 Pd 0.500 0.000 0.871
10 Pd 0.000 0.500 0.129

Summary:
ΔE_f: -662 meV/atom
Calculated volume: 19.5 Å³ per atom
Theoretical density: 9.50 g/cm3
Density of states at the Fermi level: 5.72 states/eV/cell
Total magnetic moment: 0.00 μB/atom



# 8
Material: TlGa2HgPd
Method: DFT, PBE-GGA
State: optimized geometry

Cell lengths 4.862, 4.862, 5.363 Å; angles 90.00, 90.00, 90.00 degrees
Positions (direct):
1 Tl 0.500 0.500 0.500
2 Ga 0.000 0.500 0.000
3 Ga 0.500 0.000 0.000
4 Hg 0.000 0.000 0.500
5 Pd 0.000 0.000 0.000

Summary:
ΔE_f: -79 meV/atom
Calculated volume: 25.4 Å³ per atom
Theoretical density: 8.53 g/cm3
E above lowest polymorph: 0.0 meV/atom
Density of states at the Fermi level: 2.46 states/eV/cell
Total magnetic moment: 0.00 μB/atom



# 9
Material: TlGa2HgPd
Method: DFT, PBE-GGA
State: optimized geometry

Cell lengths 4.871, 4.871, 5.501 Å; angles 90.00, 90.00, 90.00 degrees
Positions (direct):
1 Tl 0.000 0.000 0.500
2 Ga 0.000 0.500 0.000
3 Ga 0.500 0.000 0.000
4 Hg 0.500 0.500 0.500
5 Pd 0.000 0.000 0.000

Summary:
ΔE_f: -69 meV/atom
Calculated volume: 26.1 Å³ per atom
Theoretical density: 8.28 g/cm3
E above lowest polymorph: 9.3 meV/atom
Density of states at the Fermi level: 2.71 states/eV/cell
Total magnetic moment: 0.00 μB/atom



# 10
Material: TmGaHgPd
Method: DFT, PBE-GGA
State: optimized geometry

Cell lengths 4.809, 4.809, 4.809 Å; angles 60.00, 60.00, 60.00 degrees
Positions (direct):
1 Ga 0.000 0.000 0.000
2 Tm 0.500 0.500 0.500
3 Hg 0.750 0.750 0.750
4 Pd 0.250 0.250 0.250

Summary:
ΔE_f: -520 meV/atom
Calculated volume: 19.7 Å³ per atom
Theoretical density: 11.52 g/cm3
Density of states at the Fermi level: 1.80 states/eV/cell
Total magnetic moment: 0.00 μB/atom



# 11
Material: Y2GaHg2Pd4
Method: DFT, PBE-GGA
State: optimized geometry

Cell lengths 6.584, 6.584, 6.584 Å; angles 85.22, 122.80, 122.80 degrees
Positions (direct):
1 Y 0.000 0.704 0.704
2 Y 0.000 0.296 0.296
3 Ga 0.000 0.000 0.000
4 Hg 0.500 0.750 0.250
5 Hg 0.500 0.250 0.750
6 Pd 0.000 0.728 0.272
7 Pd 0.456 0.728 0.728
8 Pd 0.000 0.272 0.728
9 Pd 0.544 0.272 0.272

Summary:
ΔE_f: -339 meV/atom
Calculated volume: 21.4 Å³ per atom
Theoretical density: 9.27 g/cm3
Density of states at the Fermi level: 5.51 states/eV/cell
Total magnetic moment: 0.00 μB/atom



# 12
Material: Y2Ga2HgPd5
Method: DFT, PBE-GGA
State: optimized geometry

Cell lengths 3.809, 9.873, 9.873 Å; angles 90.00, 90.00, 90.00 degrees
Positions (direct):
1 Y 0.000 0.677 0.177
2 Y 0.000 0.323 0.823
3 Y 0.000 0.177 0.323
4 Y 0.000 0.823 0.677
5 Ga 0.000 0.121 0.621
6 Ga 0.000 0.879 0.379
7 Ga 0.000 0.621 0.879
8 Ga 0.000 0.379 0.121
9 Hg 0.000 0.000 0.000
10 Hg 0.000 0.500 0.500
11 Pd 0.500 0.211 0.066
12 Pd 0.500 0.789 0.934
13 Pd 0.500 0.066 0.789
14 Pd 0.500 0.711 0.434
15 Pd 0.500 0.934 0.211
16 Pd 0.500 0.289 0.566
17 Pd 0.500 0.566 0.711
18 Pd 0.500 0.434 0.289
19 Pd 0.500 0.500 0.000
20 Pd 0.500 0.000 0.500

Summary:
ΔE_f: -678 meV/atom
Calculated volume: 18.6 Å³ per atom
Theoretical density: 9.39 g/cm3
Density of states at the Fermi level: 14.29 states/eV/cell
Total magnetic moment: 0.00 μB/atom



# 13
Material: ZnGa2HgPd
Method: DFT, PBE-GGA
State: optimized geometry

Cell lengths 4.844, 4.844, 4.948 Å; angles 90.00, 90.00, 90.00 degrees
Positions (direct):
1 Zn 0.000 0.000 0.500
2 Ga 0.000 0.500 0.000
3 Ga 0.500 0.000 0.000
4 Hg 0.500 0.500 0.500
5 Pd 0.000 0.000 0.000

Summary:
ΔE_f: -94 meV/atom
Calculated volume: 23.2 Å³ per atom
Theoretical density: 7.32 g/cm3
Density of states at the Fermi level: 1.69 states/eV/cell
Total magnetic moment: 0.00 μB/atom



# 14
Material: Pm4GaHg5
Method: DFT, PBE-GGA
State: optimized geometry

Cell lengths 5.223, 6.551, 8.378 Å; angles 103.96, 108.16, 90.00 degrees
Positions (direct):
1 Pm 0.685 0.308 0.371
2 Pm 0.089 0.852 0.179
3 Pm 0.315 0.692 0.629
4 Pm 0.911 0.148 0.821
5 Ga 0.500 0.000 0.000
6 Hg 0.288 0.168 0.575
7 Hg 0.105 0.388 0.210
8 Hg 0.895 0.612 0.790
9 Hg 0.500 0.500 0.000
10 Hg 0.712 0.832 0.425

Summary:
ΔE_f: -468 meV/atom
Calculated volume: 26.3 Å³ per atom
Theoretical density: 10.42 g/cm3
Density of states at the Fermi level: 7.44 states/eV/cell
Total magnetic moment: 0.00 μB/atom



# 15
Material: Pm3Ga2Hg3
Method: DFT, PBE-GGA
State: optimized geometry

Cell lengths 4.136, 5.486, 10.003 Å; angles 113.16, 101.93, 90.00 degrees
Positions (direct):
1 Pm 0.846 0.271 0.691
2 Pm 0.154 0.729 0.309
3 Pm 0.000 0.000 0.000
4 Ga 0.761 0.671 0.523
5 Ga 0.239 0.329 0.477
6 Hg 0.370 0.817 0.741
7 Hg 0.500 0.500 0.000
8 Hg 0.630 0.183 0.259

Summary:
ΔE_f: -471 meV/atom
Calculated volume: 25.4 Å³ per atom
Theoretical density: 9.60 g/cm3
E above lowest polymorph: 26.4 meV/atom
Density of states at the Fermi level: 3.34 states/eV/cell
Total magnetic moment: 0.00 μB/atom



# 16
Material: Pm6GaHg6
Method: DFT, PBE-GGA
State: optimized geometry

Cell lengths 6.369, 6.369, 10.636 Å; angles 90.00, 90.00, 120.00 degrees
Positions (direct):
1 Pm 0.000 0.000 0.698
2 Pm 0.000 0.000 0.302
3 Pm 0.333 0.667 0.000
4 Pm 0.667 0.333 0.000
5 Pm 0.333 0.667 0.500
6 Pm 0.667 0.333 0.500
7 Ga 0.000 0.000 0.000
8 Hg 0.000 0.500 0.751
9 Hg 0.500 0.000 0.751
10 Hg 0.500 0.500 0.751
11 Hg 0.500 0.000 0.249
12 Hg 0.000 0.500 0.249
13 Hg 0.500 0.500 0.249

Summary:
ΔE_f: -273 meV/atom
Calculated volume: 28.7 Å³ per atom
Theoretical density: 9.53 g/cm3
Density of states at the Fermi level: 15.19 states/eV/cell
Total magnetic moment: 0.08 μB/atom



# 17
Material: Pm6GaHg
Method: DFT, PBE-GGA
State: optimized geometry

Cell lengths 5.206, 5.206, 9.722 Å; angles 74.47, 74.47, 90.00 degrees
Positions (direct):
1 Pm 0.751 0.751 0.498
2 Pm 0.607 0.107 0.785
3 Pm 0.107 0.607 0.785
4 Pm 0.393 0.893 0.215
5 Pm 0.249 0.249 0.502
6 Pm 0.893 0.393 0.215
7 Ga 0.000 0.000 0.000
8 Hg 0.500 0.500 0.000

Summary:
ΔE_f: -234 meV/atom
Calculated volume: 30.5 Å³ per atom
Theoretical density: 7.76 g/cm3
Density of states at the Fermi level: 9.38 states/eV/cell
Total magnetic moment: 0.00 μB/atom



# 18
Material: Pm2Ga3Hg
Method: DFT, PBE-GGA
State: optimized geometry

Cell lengths 5.961, 5.961, 8.753 Å; angles 106.70, 106.70, 98.98 degrees
Positions (direct):
1 Pm 0.250 0.750 0.500
2 Pm 0.748 0.748 0.000
3 Pm 0.750 0.250 0.500
4 Pm 0.252 0.252 0.000
5 Ga 0.324 0.838 0.162
6 Ga 0.162 0.676 0.838
7 Ga 0.676 0.162 0.838
8 Ga 0.838 0.324 0.162
9 Ga 0.162 0.162 0.324
10 Ga 0.838 0.838 0.676
11 Hg 0.667 0.667 0.334
12 Hg 0.333 0.333 0.666

Summary:
ΔE_f: -580 meV/atom
Calculated volume: 23.0 Å³ per atom
Theoretical density: 8.44 g/cm3
E above lowest polymorph: 0.0 meV/atom
Density of states at the Fermi level: 7.48 states/eV/cell
Total magnetic moment: 0.00 μB/atom



# 19
Material: Pm6Ga6Hg
Method: DFT, PBE-GGA
State: optimized geometry

Cell lengths 6.088, 6.088, 10.405 Å; angles 90.00, 90.00, 120.00 degrees
Positions (direct):
1 Pm 0.000 0.000 0.701
2 Pm 0.000 0.000 0.299
3 Pm 0.333 0.667 0.000
4 Pm 0.667 0.333 0.000
5 Pm 0.333 0.667 0.500
6 Pm 0.667 0.333 0.500
7 Ga 0.000 0.500 0.748
8 Ga 0.500 0.000 0.748
9 Ga 0.500 0.500 0.748
10 Ga 0.500 0.000 0.252
11 Ga 0.000 0.500 0.252
12 Ga 0.500 0.500 0.252
13 Hg 0.000 0.000 0.000

Summary:
ΔE_f: -449 meV/atom
Calculated volume: 25.7 Å³ per atom
Theoretical density: 7.40 g/cm3
Density of states at the Fermi level: 14.67 states/eV/cell
Total magnetic moment: 0.00 μB/atom



# 20
Material: Pm3Ga2Hg6
Method: DFT, PBE-GGA
State: optimized geometry

Cell lengths 4.274, 4.274, 15.999 Å; angles 97.68, 97.68, 90.00 degrees
Positions (direct):
1 Pm 0.000 0.000 0.000
2 Pm 0.831 0.831 0.661
3 Pm 0.169 0.169 0.339
4 Ga 0.360 0.360 0.719
5 Ga 0.640 0.640 0.281
6 Hg 0.076 0.576 0.152
7 Hg 0.576 0.076 0.152
8 Hg 0.924 0.424 0.848
9 Hg 0.424 0.924 0.848
10 Hg 0.729 0.729 0.458
11 Hg 0.271 0.271 0.542

Summary:
ΔE_f: -276 meV/atom
Calculated volume: 26.1 Å³ per atom
Theoretical density: 10.29 g/cm3
Density of states at the Fermi level: 9.32 states/eV/cell
Total magnetic moment: 0.00 μB/atom



# 21
Material: Pm5GaHg4
Method: DFT, PBE-GGA
State: optimized geometry

Cell lengths 3.770, 3.770, 19.085 Å; angles 90.00, 90.00, 90.00 degrees
Positions (direct):
1 Pm 0.500 0.500 0.092
2 Pm 0.500 0.500 0.297
3 Pm 0.500 0.500 0.500
4 Pm 0.500 0.500 0.703
5 Pm 0.500 0.500 0.908
6 Ga 0.000 0.000 0.000
7 Hg 0.000 0.000 0.194
8 Hg 0.000 0.000 0.398
9 Hg 0.000 0.000 0.602
10 Hg 0.000 0.000 0.806

Summary:
ΔE_f: -490 meV/atom
Calculated volume: 27.1 Å³ per atom
Theoretical density: 9.78 g/cm3
Density of states at the Fermi level: 11.05 states/eV/cell
Total magnetic moment: 0.13 μB/atom



# 22
Material: Pm12GaHg6
Method: DFT, PBE-GGA
State: optimized geometry

Cell lengths 8.859, 8.859, 8.859 Å; angles 99.87, 99.87, 99.87 degrees
Positions (direct):
1 Pm 0.817 0.574 0.427
2 Pm 0.427 0.817 0.574
3 Pm 0.574 0.427 0.817
4 Pm 0.183 0.426 0.573
5 Pm 0.573 0.183 0.426
6 Pm 0.426 0.573 0.183
7 Pm 0.067 0.951 0.320
8 Pm 0.049 0.680 0.933
9 Pm 0.680 0.933 0.049
10 Pm 0.933 0.049 0.680
11 Pm 0.951 0.320 0.067
12 Pm 0.320 0.067 0.951
13 Ga 0.000 0.000 0.000
14 Hg 0.691 0.865 0.379
15 Hg 0.621 0.309 0.135
16 Hg 0.135 0.621 0.309
17 Hg 0.309 0.135 0.621
18 Hg 0.379 0.691 0.865
19 Hg 0.865 0.379 0.691

Summary:
ΔE_f: -86 meV/atom
Calculated volume: 34.8 Å³ per atom
Theoretical density: 7.58 g/cm3
Density of states at the Fermi level: 28.33 states/eV/cell
Total magnetic moment: 0.00 μB/atom



# 23
Material: Pm3Ga3Hg
Method: DFT, PBE-GGA
State: optimized geometry

Cell lengths 4.545, 6.034, 13.970 Å; angles 84.36, 80.64, 67.87 degrees
Positions (direct):
1 Pm 0.530 0.317 0.623
2 Pm 0.470 0.683 0.377
3 Pm 0.263 0.254 0.219
4 Pm 0.737 0.746 0.781
5 Pm 0.394 0.287 0.925
6 Pm 0.606 0.713 0.075
7 Ga 0.878 0.700 0.544
8 Ga 0.122 0.300 0.456
9 Ga 0.107 0.860 0.926
10 Ga 0.893 0.140 0.074
11 Ga 0.977 0.822 0.224
12 Ga 0.023 0.178 0.776
13 Hg 0.758 0.093 0.392
14 Hg 0.242 0.907 0.608

Summary:
ΔE_f: -572 meV/atom
Calculated volume: 25.0 Å³ per atom
Theoretical density: 8.02 g/cm3
Density of states at the Fermi level: 10.83 states/eV/cell
Total magnetic moment: 0.07 μB/atom